(1)
DFT (PBE) results for PuTh2Fe2 after structural relaxation.

a b c (Å): 9.8325 5.8208 7.5258
angles (deg): 90.00 99.01 90.00
With the nearest neighbours (Å) after each atom.
Space group C2/c (No. 15)
Symmetry-distinct sites (fractional):
1 Pu 0.0000 0.1260 0.2500 [4 per cell]  4 Fe 2.35-2.56
2 Th 0.1518 0.3892 0.6491 [8 per cell]  6 Fe 2.99-3.18, 1 Pu 3.34
3 Fe 0.1230 0.1233 0.0068 [8 per cell]  2 Pu 2.35-2.56

Its total energy is -186.238 eV per cell. The theoretical density comes out at 12.80 g/cm3. Its calculated volume is 106.4 Å³/f.u. The value obtained for the density of states at the Fermi level is 1.519 states/eV per atom.

(2)
DFT (PBE) results for Pu2ThFe9 after structural relaxation.

a b c (Å): 4.9503 4.9503 25.2305
angles (deg): 90.00 90.00 120.00
With the nearest neighbours (Å) after each atom.
Space group R-3m (No. 166, hexagonal axes)
Symmetry-distinct sites (fractional):
1 Pu 0.0000 0.0000 0.1473 [6 per cell]  12 Fe 2.90-2.99, 3 Pu 3.02
2 Th 0.0000 0.0000 0.0000 [3 per cell]  6 Fe 2.86
3 Fe 0.0000 0.0000 0.3337 [6 per cell]  6 Fe 2.51-2.52
4 Fe 0.0000 0.0000 0.5000 [3 per cell]  6 Fe 2.57
5 Fe 0.0007 0.5004 0.9180 [18 per cell]  7 Fe 2.47-2.57

Its total energy is -333.618 eV per cell. The theoretical density comes out at 11.37 g/cm3. Its calculated volume is 178.5 Å³/f.u. The value obtained for the density of states at the Fermi level is 2.195 states/eV per atom.

(3)
DFT (PBE) results for Pu3ThFe after structural relaxation.

a b c (Å): 5.0985 5.0985 5.0985
angles (deg): 90.00 90.00 90.00
With the nearest neighbours (Å) after each atom.
Space group Pm-3m (No. 221)
Symmetry-distinct sites (fractional):
1 Pu 0.0000 0.0000 0.5000 [3 per cell]  2 Fe 2.55
2 Th 0.5000 0.5000 0.5000 [1 per cell]  12 Pu 3.61
3 Fe 0.0000 0.0000 0.0000 [1 per cell]  6 Pu 2.55

Its total energy is -57.312 eV per cell. The theoretical density comes out at 12.78 g/cm3. Its calculated volume is 132.5 Å³/f.u. The value obtained for the density of states at the Fermi level is 4.149 states/eV per atom.

(4)
DFT (PBE) results for PuThFe10 after structural relaxation.

a b c (Å): 3.9930 5.0108 8.6838
angles (deg): 90.00 90.00 90.00
With the nearest neighbours (Å) after each atom.
Space group Pmmm (No. 47)
Symmetry-distinct sites (fractional):
1 Pu 0.0000 0.0000 0.0000 [1 per cell]  18 Fe 2.86-3.20
2 Th 0.0000 0.5000 0.5000 [1 per cell]  18 Fe 2.91-3.22
3 Fe 0.0000 0.0000 0.3296 [2 per cell]  6 Fe 2.46-2.49
4 Fe 0.0000 0.5000 0.1624 [2 per cell]  6 Fe 2.44-2.47
5 Fe 0.5000 0.0000 0.5000 [1 per cell]  8 Fe 2.49-2.53
6 Fe 0.5000 0.2487 0.2470 [4 per cell]  8 Fe 2.46-2.53
7 Fe 0.5000 0.5000 0.0000 [1 per cell]  8 Fe 2.44-2.49

Its total energy is -105.394 eV per cell. The theoretical density comes out at 9.89 g/cm3. Its calculated volume is 173.7 Å³/f.u. The value obtained for the density of states at the Fermi level is 2.237 states/eV per atom.

(5)
DFT (PBE) results for PuThZnFe after structural relaxation.

a b c (Å): 7.0267 7.0267 7.0267
angles (deg): 90.00 90.00 90.00
With the nearest neighbours (Å) after each atom.
Space group F-43m (No. 216)
Symmetry-distinct sites (fractional):
1 Pu 0.0000 0.0000 0.0000 [4 per cell]  4 Zn 3.04, 4 Fe 3.04
2 Th 0.0000 0.0000 0.5000 [4 per cell]  4 Fe 3.04, 4 Zn 3.04
3 Zn 0.2500 0.2500 0.7500 [4 per cell]  4 Th 3.04, 4 Pu 3.04
4 Fe 0.2500 0.2500 0.2500 [4 per cell]  4 Pu 3.04, 4 Th 3.04

Its total energy is -125.262 eV per cell. The theoretical density comes out at 11.44 g/cm3. Its calculated volume is 86.7 Å³/f.u. The value obtained for the density of states at the Fermi level is 2.020 states/eV per atom.

(6)
DFT (PBE) results for PuTi2Fe after structural relaxation.

a b c (Å): 2.9819 2.9819 7.3738
angles (deg): 90.00 90.00 90.00
With the nearest neighbours (Å) after each atom.
Space group P4/mmm (No. 123)
Symmetry-distinct sites (fractional):
1 Pu 0.0000 0.0000 0.0000 [1 per cell]  4 Pu 2.98, 8 Ti 3.06
2 Ti 0.5000 0.5000 0.3013 [2 per cell]  4 Fe 2.57
3 Fe 0.0000 0.0000 0.5000 [1 per cell]  8 Ti 2.57

Its total energy is -38.913 eV per cell. The theoretical density comes out at 10.02 g/cm3. Its calculated volume is 65.6 Å³/f.u. The value obtained for the density of states at the Fermi level is 1.231 states/eV per atom.

(7)
DFT (PBE) results for PuTlFe after structural relaxation.

a b c (Å): 9.2405 9.2405 3.3398
angles (deg): 90.00 90.00 90.00
With the nearest neighbours (Å) after each atom.
Space group P4_2/m (No. 84)
Symmetry-distinct sites (fractional):
1 Pu 0.0315 0.7602 0.0000 [4 per cell]  3 Fe 2.33-2.58
2 Tl 0.2093 0.4846 0.5000 [4 per cell]  3 Fe 2.75-2.79
3 Fe 0.2202 0.2431 0.0000 [4 per cell]  3 Pu 2.33-2.58

Its total energy is -97.376 eV per cell. The theoretical density comes out at 11.74 g/cm3. Its calculated volume is 71.3 Å³/f.u. The value obtained for the density of states at the Fermi level is 1.717 states/eV per atom.

(8)
DFT (PBE) results for TmPuFe10 after structural relaxation.

a b c (Å): 3.9496 4.9517 8.5810
angles (deg): 90.00 90.00 90.00
With the nearest neighbours (Å) after each atom.
Space group Pmmm (No. 47)
Symmetry-distinct sites (fractional):
1 Tm 0.0000 0.0000 0.0000 [1 per cell]  18 Fe 2.86-3.17
2 Pu 0.0000 0.5000 0.5000 [1 per cell]  18 Fe 2.86-3.18
3 Fe 0.0000 0.0000 0.3335 [2 per cell]  6 Fe 2.44
4 Fe 0.0000 0.5000 0.1665 [2 per cell]  6 Fe 2.44
5 Fe 0.5000 0.0000 0.5000 [1 per cell]  8 Fe 2.44-2.49
6 Fe 0.5000 0.2489 0.2477 [4 per cell]  8 Fe 2.44-2.49
7 Fe 0.5000 0.5000 0.0000 [1 per cell]  8 Fe 2.44-2.46

Its total energy is -102.573 eV per cell. The theoretical density comes out at 9.61 g/cm3. Its calculated volume is 167.8 Å³/f.u. The value obtained for the density of states at the Fermi level is 1.931 states/eV per atom.

(9)
DFT (PBE) results for Tm2PuFe after structural relaxation.

a b c (Å): 3.2892 3.2892 8.6707
angles (deg): 90.00 90.00 90.00
With the nearest neighbours (Å) after each atom.
Space group P4/mmm (No. 123)
Symmetry-distinct sites (fractional):
1 Tm 0.0000 0.0000 0.1837 [2 per cell]  4 Fe 2.82
2 Pu 0.5000 0.5000 0.5000 [1 per cell]  4 Pu 3.29, 8 Tm 3.60
3 Fe 0.5000 0.5000 0.0000 [1 per cell]  8 Tm 2.82

The energy above the lowest structure with this stoichiometry comes out at 179 meV/atom. The theoretical density comes out at 11.29 g/cm3. Its calculated volume is 93.8 Å³/f.u. The value obtained for the density of states at the Fermi level is 2.210 states/eV per atom.

(10)
DFT (PBE) results for Tm2PuFe after structural relaxation.

a b c (Å): 3.3516 3.3516 31.2721
angles (deg): 90.00 90.00 120.00
With the nearest neighbours (Å) after each atom.
Space group R-3m (No. 166, hexagonal axes)
Symmetry-distinct sites (fractional):
1 Tm 0.0000 0.0000 0.1064 [6 per cell]  3 Fe 2.70
2 Pu 0.0000 0.0000 0.0000 [3 per cell]  2 Tm 3.33, 6 Pu 3.35
3 Fe 0.0000 0.0000 0.5000 [3 per cell]  6 Tm 2.70

The energy above the lowest structure with this stoichiometry comes out at 479 meV/atom. The theoretical density comes out at 10.44 g/cm3. Its calculated volume is 101.4 Å³/f.u. The value obtained for the density of states at the Fermi level is 2.813 states/eV per atom.

(11)
DFT (PBE) results for TmPu3Fe8 after structural relaxation.

a b c (Å): 5.0484 5.0484 24.8131
angles (deg): 90.00 90.00 120.00
With the nearest neighbours (Å) after each atom.
Space group R3m (No. 160, hexagonal axes)
Symmetry-distinct sites (fractional):
1 Tm 0.0000 0.0000 0.0000 [3 per cell]  12 Fe 2.94-2.97, 4 Pu 3.16-3.23
2 Pu 0.0000 0.0000 0.3825 [3 per cell]  12 Fe 2.88-3.08, 1 Pu 2.92, 3 Tm 3.16
3 Pu 0.0000 0.0000 0.5004 [3 per cell]  4 Pu 2.92-3.05, 12 Fe 2.96-3.01
4 Pu 0.0000 0.0000 0.8698 [3 per cell]  12 Fe 2.85-3.06, 3 Pu 3.05
5 Fe 0.0000 0.0000 0.1926 [3 per cell]  6 Fe 2.46-2.61
6 Fe 0.0000 0.0000 0.6853 [3 per cell]  6 Fe 2.45-2.59
7 Fe 0.0014 0.5007 0.9396 [9 per cell]  6 Fe 2.45-2.53
8 Fe 0.1682 0.3365 0.7714 [9 per cell]  6 Fe 2.50-2.61

Its total energy is -343.964 eV per cell. The theoretical density comes out at 12.26 g/cm3. Its calculated volume is 182.6 Å³/f.u. The value obtained for the density of states at the Fermi level is 2.265 states/eV per atom.

(12)
DFT (PBE) results for Tm2PuFe after structural relaxation.

a b c (Å): 6.8190 9.2659 6.0553
angles (deg): 90.00 90.00 90.00
With the nearest neighbours (Å) after each atom.
Space group Pnma (No. 62)
Symmetry-distinct sites (fractional):
1 Tm 0.1698 0.0667 0.1775 [8 per cell]  3 Fe 2.91-3.12
2 Pu 0.0546 0.2500 0.6654 [4 per cell]  2 Fe 2.31-2.39
3 Fe 0.1378 0.7500 0.0040 [4 per cell]  2 Pu 2.31-2.39

The energy above the lowest structure with this stoichiometry comes out at 0 meV/atom. The theoretical density comes out at 11.07 g/cm3. Its calculated volume is 95.6 Å³/f.u. The value obtained for the density of states at the Fermi level is 1.807 states/eV per atom.

- Which of these has the highest calculated volume?
  TmPu3Fe8

- The lowest calculated volume belongs to which entry?
  PuTi2Fe

- Which value of theoretical density does entry 4 give?
  9.89 g/cm3

What did the first record say?
DFT (PBE) results for PuTh2Fe2 after structural relaxation.

a b c (Å): 9.8325 5.8208 7.5258
angles (deg): 90.00 99.01 90.00
With the nearest neighbours (Å) after each atom.
Space group C2/c (No. 15)
Symmetry-distinct sites (fractional):
1 Pu 0.0000 0.1260 0.2500 [4 per cell]  4 Fe 2.35-2.56
2 Th 0.1518 0.3892 0.6491 [8 per cell]  6 Fe 2.99-3.18, 1 Pu 3.34
3 Fe 0.1230 0.1233 0.0068 [8 per cell]  2 Pu 2.35-2.56

Its total energy is -186.238 eV per cell. The theoretical density comes out at 12.80 g/cm3. Its calculated volume is 106.4 Å³/f.u. The value obtained for the density of states at the Fermi level is 1.519 states/eV per atom.